[1]
The following is a DFT calculation (PBE-GGA) of a geometry-optimized HgMo2Ru structure.

Output
space-group type	I-4m2
magnetization	0.00	μB per formula unit
density	12580	kg/m³
calculated formation energy	477	meV per atom

Cell lengths 4.918, 4.918, 4.918 Å; angles 131.61, 131.61, 70.85 degrees
Sites, in units of the cell vectors:
1 Ru 0.500 0.500 0.000
2 Mo 0.000 0.000 0.000
3 Mo 0.250 0.750 0.500
4 Hg 0.750 0.250 0.500

=====

[2]
The following is a DFT calculation (PBE-GGA) of a geometry-optimized SiSn3N structure.

Output
space-group type	Pm-3m
magnetization	0.00	μB per formula unit
density	6101	kg/m³
formation energy from raw total energies	0.654	eV/atom

Cell lengths 4.768, 4.768, 4.768 Å; angles 90.00, 90.00, 90.00 degrees
Sites, in units of the cell vectors:
1 Sn 0.500 0.000 0.000
2 Sn 0.000 0.500 0.000
3 Sn 0.000 0.000 0.500
4 Si 0.500 0.500 0.500
5 N 0.000 0.000 0.000

=====

[3]
The following is a DFT calculation (PBE-GGA) of a geometry-optimized ZnSiAs3 structure.

Output
space-group type	Pm-3m
magnetization	0.00	μB per formula unit
density	4781	kg/m³
formation energy from raw total energies	0.704	eV/atom

Cell lengths 4.799, 4.799, 4.799 Å; angles 90.00, 90.00, 90.00 degrees
Sites, in units of the cell vectors:
1 As 0.000 0.500 0.000
2 As 0.500 0.000 0.000
3 As 0.000 0.000 0.500
4 Si 0.000 0.000 0.000
5 Zn 0.500 0.500 0.500

=====

[4]
The following is a DFT calculation (PBE-GGA) of a geometry-optimized ErZrIr structure.

Output
space-group type	F-43m
magnetization	0.00	μB per formula unit
density	10451	kg/m³
calculated formation energy	-575	meV per atom

Cell lengths 4.661, 4.661, 4.661 Å; angles 60.00, 60.00, 60.00 degrees
Sites, in units of the cell vectors:
1 Er 0.500 0.500 0.500
2 Ir 0.250 0.250 0.250
3 Zr 0.000 0.000 0.000

=====

[5]
The following is a DFT calculation (PBE-GGA) of a geometry-optimized PrPtAu11 structure.

Output
space-group type	C2/m
magnetization	0.00	μB per formula unit
density	16284	kg/m³
calculated formation energy	-206	meV per atom

Cell lengths 5.619, 7.300, 7.384 Å; angles 80.98, 67.64, 65.66 degrees
Sites, in units of the cell vectors:
1 Au 0.499 0.786 0.213
2 Au 0.000 0.000 0.500
3 Au 0.019 0.650 0.342
4 Au 0.501 0.214 0.787
5 Au 0.288 0.214 0.213
6 Au 0.500 0.000 0.500
7 Au 0.712 0.786 0.787
8 Au 0.981 0.350 0.658
9 Au 0.362 0.650 0.658
10 Au 0.000 0.500 0.000
11 Au 0.638 0.350 0.342
12 Pr 0.000 0.000 0.000
13 Pt 0.500 0.500 0.000

=====

[6]
The following is a DFT calculation (PBE-GGA) of a geometry-optimized TiGeBr3 structure.

Output
space-group type	Pm-3m
magnetization	1.09	μB per formula unit
density	4384	kg/m³
formation energy from raw total energies	-0.202	eV/atom

Cell lengths 5.148, 5.148, 5.148 Å; angles 90.00, 90.00, 90.00 degrees
Each line ends with the local moment (μB).
Sites, in units of the cell vectors:
1 Ge 0.500 0.500 0.500  0.52
2 Br 0.000 0.500 0.000  0.00
3 Br 0.500 0.000 0.000  0.00
4 Br 0.000 0.000 0.500  0.01
5 Ti 0.000 0.000 0.000  -0.15

=====

[7]
The following is a DFT calculation (PBE-GGA) of a geometry-optimized MgPaTiO6 structure.

Output
space-group type	P4_2nm
magnetization	0.00	μB per formula unit
density	5899	kg/m³
formation energy from raw total energies	-2.890	eV/atom

Cell lengths 4.810, 4.810, 9.714 Å; angles 90.00, 90.00, 90.00 degrees
Sites, in units of the cell vectors:
1 Mg 0.500 0.500 0.166
2 Mg 0.000 0.000 0.666
3 O 0.809 0.191 0.182
4 O 0.187 0.813 0.494
5 O 0.309 0.309 0.682
6 O 0.691 0.691 0.682
7 O 0.313 0.313 0.994
8 O 0.790 0.210 0.829
9 O 0.687 0.687 0.994
10 O 0.290 0.290 0.329
11 O 0.710 0.710 0.329
12 O 0.191 0.809 0.182
13 O 0.813 0.187 0.494
14 O 0.210 0.790 0.829
15 Ti 0.500 0.500 0.828
16 Ti 0.000 0.000 0.328
17 Pa 0.500 0.500 0.497
18 Pa 0.000 0.000 0.997

=====

[8]
The following is a DFT calculation (PBE-GGA) of a geometry-optimized TcTeMo3 structure.

Output
space-group type	Pm-3m
magnetization	1.62	μB per formula unit
density	7927	kg/m³
formation energy from raw total energies	1.494	eV/atom

Cell lengths 4.756, 4.756, 4.756 Å; angles 90.00, 90.00, 90.00 degrees
Each line ends with the local moment (μB).
Sites, in units of the cell vectors:
1 Mo 0.000 0.000 0.500  0.52
2 Mo 0.500 0.000 0.000  0.60
3 Mo 0.000 0.500 0.000  0.47
4 Tc 0.000 0.000 0.000  -0.13
5 Te 0.500 0.500 0.500  -0.05

=====

- Number 2 is which compound?
  SiSn3N